1.
Entry from the Alexandria database: crystalline LaCe2SmPb4 at its relaxed geometry (PBE).

## Properties
- Fermi-level density of states (states/eV per atom) = 2.120
- volume (A^3/atom) = 31.8

Cell: 5.3041 5.3041 10.8786 Å, 75.89 75.89 60.00°
Closest atoms and distances in Å follow each position.
Positions (direct):
La: 0.0000 0.0000 0.0000  6 Pb 3.37
Ce: 0.7533 0.7533 0.7402  6 Pb 3.30-3.33
Ce: 0.2467 0.2467 0.2598  6 Pb 3.30-3.33
Sm: 0.5000 0.5000 0.5000  6 Pb 3.32
Pb: 0.3779 0.3779 0.8663  3 Ce 3.33, 3 La 3.37
Pb: 0.8739 0.8739 0.3782  3 Ce 3.30, 3 Sm 3.32
Pb: 0.1261 0.1261 0.6218  3 Ce 3.30, 3 Sm 3.32
Pb: 0.6221 0.6221 0.1337  3 Ce 3.33, 3 La 3.37

2.
Entry from the Alexandria database: crystalline LaTbCe2Pb4 at its relaxed geometry (PBE).

## Properties
- Fermi-level density of states (states/eV per atom) = 2.086
- volume (A^3/atom) = 31.5

Cell: 5.2899 5.2899 10.8246 Å, 75.86 75.86 60.00°
Closest atoms and distances in Å follow each position.
Positions (direct):
La: 0.0000 0.0000 0.0000  6 Pb 3.36
Tb: 0.5000 0.5000 0.5000  6 Pb 3.29
Ce: 0.7545 0.7545 0.7366  6 Pb 3.29-3.33
Ce: 0.2455 0.2455 0.2634  6 Pb 3.29-3.33
Pb: 0.3783 0.3783 0.8652  3 Ce 3.33, 3 La 3.36
Pb: 0.8730 0.8730 0.3809  3 Ce 3.29, 3 Tb 3.29
Pb: 0.1270 0.1270 0.6191  3 Ce 3.29, 3 Tb 3.29
Pb: 0.6217 0.6217 0.1348  3 Ce 3.33, 3 La 3.36

3.
Entry from the Alexandria database: crystalline LaCeThPb at its relaxed geometry (PBE).

## Properties
- Fermi-level density of states (states/eV per atom) = 2.301
- volume (A^3/atom) = 31.2

Cell: 5.6110 5.6110 5.6110 Å, 60.00 60.00 60.00°
Closest atoms and distances in Å follow each position.
Positions (direct):
Pb: 0.7500 0.7500 0.7500  4 La 3.44, 4 Ce 3.44
Ce: 0.5000 0.5000 0.5000  4 Pb 3.44, 4 Th 3.44
Th: 0.2500 0.2500 0.2500  4 La 3.44, 4 Ce 3.44
La: 0.0000 0.0000 0.0000  4 Th 3.44, 4 Pb 3.44

4.
Entry from the Alexandria database: crystalline LaCe2TmPb4 at its relaxed geometry (PBE).

## Properties
- Fermi-level density of states (states/eV per atom) = 2.082
- volume (A^3/atom) = 31.1

Cell: 5.2798 5.2798 10.7474 Å, 75.78 75.78 60.00°
Closest atoms and distances in Å follow each position.
Positions (direct):
La: 0.0000 0.0000 0.0000  6 Pb 3.35
Ce: 0.7557 0.7557 0.7329  7 Pb 3.27-3.61
Ce: 0.2443 0.2443 0.2671  7 Pb 3.27-3.61
Tm: 0.5000 0.5000 0.5000  6 Pb 3.28
Pb: 0.3785 0.3785 0.8646  3 Ce 3.34, 3 La 3.35
Pb: 0.8724 0.8724 0.3829  4 Ce 3.27-3.61, 3 Tm 3.28
Pb: 0.1276 0.1276 0.6172  4 Ce 3.27-3.61, 3 Tm 3.28
Pb: 0.6215 0.6215 0.1354  3 Ce 3.34, 3 La 3.35

5.
Entry from the Alexandria database: crystalline LaCeTmPb at its relaxed geometry (PBE).

## Properties
- Fermi-level density of states (states/eV per atom) = 2.199
- volume (A^3/atom) = 29.9

Cell: 5.5315 5.5315 5.5315 Å, 60.00 60.00 60.00°
Closest atoms and distances in Å follow each position.
Positions (direct):
Pb: 0.2500 0.2500 0.2500  4 Tm 3.39, 4 La 3.39
Tm: 0.0000 0.0000 0.0000  4 Ce 3.39, 4 Pb 3.39
Ce: 0.7500 0.7500 0.7500  4 La 3.39, 4 Tm 3.39
La: 0.5000 0.5000 0.5000  4 Pb 3.39, 4 Ce 3.39

6.
Entry from the Alexandria database: crystalline LaCeYPb at its relaxed geometry (PBE).

## Properties
- Fermi-level density of states (states/eV per atom) = 2.368
- volume (A^3/atom) = 30.4

Cell: 5.5617 5.5617 5.5617 Å, 60.00 60.00 60.00°
Closest atoms and distances in Å follow each position.
Positions (direct):
Pb: 0.0000 0.0000 0.0000  4 La 3.41, 4 Y 3.41
Y: 0.7500 0.7500 0.7500  4 Ce 3.41, 4 Pb 3.41
Ce: 0.5000 0.5000 0.5000  4 Y 3.41, 4 La 3.41
La: 0.2500 0.2500 0.2500  4 Ce 3.41, 4 Pb 3.41

7.
Entry from the Alexandria database: crystalline LaCePd2 at its relaxed geometry (PBE).

## Properties
- Fermi-level density of states (states/eV per atom) = 2.113
- volume (A^3/atom) = 23.9
- offset from the most stable computed form (eV per atom) = 0.0592

Cell: 3.6180 3.6180 7.2995 Å, 90.00 90.00 90.00°
Closest atoms and distances in Å follow each position.
Positions (direct):
Pd: 0.0000 0.0000 0.7719  4 Ce 3.05, 4 La 3.24, 1 Pd 3.33
Pd: 0.0000 0.0000 0.2281  4 Ce 3.05, 4 La 3.24, 1 Pd 3.33
Ce: 0.5000 0.5000 0.0000  8 Pd 3.05
La: 0.5000 0.5000 0.5000  8 Pd 3.24, 4 La 3.62

8.
Entry from the Alexandria database: crystalline LaCePd2 at its relaxed geometry (PBE).

## Properties
- Fermi-level density of states (states/eV per atom) = 1.641
- volume (A^3/atom) = 23.3
- offset from the most stable computed form (eV per atom) = 0.0444

Cell: 4.6964 6.5608 7.2436 Å, 123.33 90.00 90.00°
Closest atoms and distances in Å follow each position.
Positions (direct):
La: 0.2500 0.2318 0.1168  6 Pd 3.02-3.04
La: 0.7500 0.7682 0.8832  6 Pd 3.02-3.04
Ce: 0.7500 0.8138 0.4061  8 Pd 3.01-3.30, 2 Ce 3.11
Ce: 0.2500 0.1862 0.5939  8 Pd 3.01-3.30, 2 Ce 3.11
Pd: 0.2500 0.6818 0.0994  4 Ce 3.01-3.30, 3 La 3.02-3.04, 2 Pd 3.08
Pd: 0.7500 0.3182 0.9006  4 Ce 3.01-3.30, 3 La 3.02-3.04, 2 Pd 3.08
Pd: 0.7500 0.3188 0.4188  4 Ce 3.02-3.30, 3 La 3.02-3.04, 2 Pd 3.08
Pd: 0.2500 0.6812 0.5812  4 Ce 3.02-3.30, 3 La 3.02-3.04, 2 Pd 3.08

9.
Entry from the Alexandria database: crystalline LaCePd2 at its relaxed geometry (PBE).

## Properties
- Fermi-level density of states (states/eV per atom) = 1.986
- volume (A^3/atom) = 24.9
- offset from the most stable computed form (eV per atom) = 0.0000

Cell: 3.9007 4.5883 5.8949 Å, 90.00 109.22 90.00°
Closest atoms and distances in Å follow each position.
Positions (direct):
La: 0.7198 0.0000 0.9792  7 Pd 3.02-3.21
Ce: 0.4496 0.5000 0.4378  7 Pd 3.05-3.14
Pd: 0.1698 0.5000 0.8790  2 Pd 3.03, 4 La 3.06, 3 Ce 3.11-3.14
Pd: 0.9918 0.0000 0.5221  3 La 3.02-3.21, 2 Pd 3.03, 4 Ce 3.05

10.
Entry from the Alexandria database: crystalline LaCePd4 at its relaxed geometry (PBE).

## Properties
- Fermi-level density of states (states/eV per atom) = 1.092
- volume (A^3/atom) = 21.0
- offset from the most stable computed form (eV per atom) = 0.0000

Cell: 4.2451 5.8303 10.4015 Å, 90.00 101.77 90.00°
Closest atoms and distances in Å follow each position.
Positions (direct):
La: 0.7205 0.2500 0.4410  7 Pd 3.00-3.15
La: 0.2795 0.7500 0.5590  7 Pd 3.00-3.15
Ce: 0.4241 0.2500 0.8482  11 Pd 2.92-3.00
Ce: 0.5759 0.7500 0.1518  11 Pd 2.92-3.00
Pd: 0.0000 0.0000 0.0000  8 Pd 2.92-2.95, 4 Ce 3.00
Pd: 0.0000 0.5000 0.0000  8 Pd 2.92-2.95, 4 Ce 3.00
Pd: 0.1432 0.0073 0.2864  5 Pd 2.83-3.00, 2 Ce 2.94, 3 La 3.00-3.15
Pd: 0.8568 0.5073 0.7136  5 Pd 2.83-3.00, 2 Ce 2.94, 3 La 3.00-3.15
Pd: 0.1432 0.4927 0.2864  5 Pd 2.83-3.00, 2 Ce 2.94, 3 La 3.00-3.15
Pd: 0.8568 0.9927 0.7136  5 Pd 2.83-3.00, 2 Ce 2.94, 3 La 3.00-3.15
Pd: 0.5702 0.2500 0.1404  3 Ce 2.92-2.97, 8 Pd 2.95, 1 La 3.06
Pd: 0.4298 0.7500 0.8596  3 Ce 2.92-2.97, 8 Pd 2.95, 1 La 3.06

11.
Entry from the Alexandria database: crystalline LaCePd at its relaxed geometry (PBE).

## Properties
- Fermi-level density of states (states/eV per atom) = 1.744
- volume (A^3/atom) = 26.9
- offset from the most stable computed form (eV per atom) = 0.0000

Cell: 4.4451 4.2140 8.6522 Å, 94.64 90.00 90.00°
Closest atoms and distances in Å follow each position.
Positions (direct):
La: 0.8135 0.8865 0.5641  5 Pd 3.01-3.25
La: 0.3136 0.3464 0.2752  5 Pd 3.01-3.25
Ce: 0.8136 0.4222 0.9375  2 Ce 2.79, 1 Pd 2.87
Ce: 0.3136 0.8108 0.9018  2 Ce 2.79, 1 Pd 2.87
Pd: 0.8136 0.8766 0.2028  1 Ce 2.87, 3 La 3.01-3.12
Pd: 0.3136 0.3563 0.6364  1 Ce 2.87, 3 La 3.01-3.12

12.
Entry from the Alexandria database: crystalline LaCePd at its relaxed geometry (PBE).

## Properties
- Fermi-level density of states (states/eV per atom) = 1.284
- volume (A^3/atom) = 25.4
- offset from the most stable computed form (eV per atom) = 0.0452

Cell: 3.7354 3.7354 6.0594 Å, 107.95 107.95 90.00°
Closest atoms and distances in Å follow each position.
Positions (direct):
Ce: 0.3037 0.3037 0.6073  4 Pd 3.02, 1 La 3.33
Pd: 0.9373 0.9373 0.8746  4 Ce 3.02, 4 La 3.24
La: 0.6091 0.6091 0.2181  5 Pd 3.24-3.58, 5 Ce 3.33-3.39

13.
Entry from the Alexandria database: crystalline LaCePd2 at its relaxed geometry (PBE).

## Properties
- Fermi-level density of states (states/eV per atom) = 2.329
- volume (A^3/atom) = 23.9
- offset from the most stable computed form (eV per atom) = 0.0703

Cell: 5.1337 5.1337 5.1337 Å, 60.00 60.00 60.00°
Closest atoms and distances in Å follow each position.
Positions (direct):
Pd: 0.2500 0.2500 0.2500  4 La 3.14, 4 Ce 3.14
Pd: 0.7500 0.7500 0.7500  4 La 3.14, 4 Ce 3.14
Ce: 0.0000 0.0000 0.0000  8 Pd 3.14
La: 0.5000 0.5000 0.5000  8 Pd 3.14

14.
Entry from the Alexandria database: crystalline LaCePd6 at its relaxed geometry (PBE).

## Properties
- Fermi-level density of states (states/eV per atom) = 0.300
- volume (A^3/atom) = 18.4

Cell: 4.1891 4.1891 8.3817 Å, 90.00 90.00 90.00°
Closest atoms and distances in Å follow each position.
Positions (direct):
La: 0.0000 0.0000 0.5000  12 Pd 2.96-3.01
Ce: 0.0000 0.0000 0.0000  12 Pd 2.91-2.96
Pd: 0.5000 0.5000 0.0000  8 Pd 2.91, 4 Ce 2.96
Pd: 0.5000 0.5000 0.5000  4 La 2.96, 8 Pd 3.01
Pd: 0.5000 0.0000 0.2413  2 Ce 2.91, 8 Pd 2.91-3.01, 2 La 3.01
Pd: 0.5000 0.0000 0.7587  2 Ce 2.91, 8 Pd 2.91-3.01, 2 La 3.01
Pd: 0.0000 0.5000 0.2413  2 Ce 2.91, 8 Pd 2.91-3.01, 2 La 3.01
Pd: 0.0000 0.5000 0.7587  8 Pd 2.91-3.01, 2 Ce 2.91, 2 La 3.01

15.
Entry from the Alexandria database: crystalline La2CePd3 at its relaxed geometry (PBE).

## Properties
- Fermi-level density of states (states/eV per atom) = 1.480
- volume (A^3/atom) = 26.9

Cell: 5.9900 8.4699 7.3446 Å, 106.84 114.07 90.00°
Closest atoms and distances in Å follow each position.
Positions (direct):
La: 0.6674 0.5836 0.3339  6 Pd 3.00-3.05
La: 0.6665 0.0836 0.3339  6 Pd 3.00-3.05
La: 0.3335 0.9164 0.6661  6 Pd 3.00-3.05
La: 0.3326 0.4164 0.6661  6 Pd 3.00-3.05
Ce: 0.9989 0.7500 0.0000  6 Pd 2.94-3.00
Ce: 0.0011 0.2500 0.0000  6 Pd 2.94-3.00
Pd: 0.5012 0.2500 0.0000  2 Ce 2.99-3.00, 4 La 3.00
Pd: 0.4988 0.7500 0.0000  2 Ce 2.99-3.00, 4 La 3.00
Pd: 0.1600 0.0802 0.3210  2 Ce 2.94, 4 La 3.00-3.05
Pd: 0.8390 0.4198 0.6790  2 Ce 2.94, 4 La 3.00-3.05
Pd: 0.1610 0.5802 0.3210  2 Ce 2.94, 4 La 3.00-3.05
Pd: 0.8400 0.9198 0.6790  2 Ce 2.94, 4 La 3.00-3.05

16.
Entry from the Alexandria database: crystalline La2CePd9 at its relaxed geometry (PBE).

## Properties
- Fermi-level density of states (states/eV per atom) = 0.417
- volume (A^3/atom) = 18.6

Cell: 4.2011 4.2011 12.6203 Å, 90.00 90.00 90.00°
Closest atoms and distances in Å follow each position.
Positions (direct):
La: 0.0000 0.0000 0.3329  12 Pd 2.97-3.04
La: 0.0000 0.0000 0.6671  12 Pd 2.97-3.04
Ce: 0.0000 0.0000 0.0000  12 Pd 2.90-2.97
Pd: 0.5000 0.5000 0.0000  8 Pd 2.90, 4 Ce 2.97
Pd: 0.5000 0.5000 0.3300  4 La 2.97, 8 Pd 3.00-3.01
Pd: 0.5000 0.5000 0.6700  4 La 2.97, 8 Pd 3.00-3.01
Pd: 0.5000 0.0000 0.1588  2 Ce 2.90, 8 Pd 2.90-3.01, 2 La 3.04
Pd: 0.5000 0.0000 0.5000  8 Pd 2.97-3.00, 4 La 2.98
Pd: 0.5000 0.0000 0.8412  2 Ce 2.90, 8 Pd 2.90-3.01, 2 La 3.04
Pd: 0.0000 0.5000 0.1588  8 Pd 2.90-3.01, 2 Ce 2.90, 2 La 3.04
Pd: 0.0000 0.5000 0.5000  8 Pd 2.97-3.00, 4 La 2.98
Pd: 0.0000 0.5000 0.8412  2 Ce 2.90, 8 Pd 2.90-3.01, 2 La 3.04

17.
Entry from the Alexandria database: crystalline LaCePd2 at its relaxed geometry (PBE).

## Properties
- Fermi-level density of states (states/eV per atom) = 1.674
- volume (A^3/atom) = 26.5
- offset from the most stable computed form (eV per atom) = 0.0693

Cell: 4.2113 4.2113 7.3099 Å, 73.26 73.26 60.00°
Closest atoms and distances in Å follow each position.
Positions (direct):
Pd: 0.7538 0.7538 0.7386  3 Ce 2.94, 3 La 3.03
Pd: 0.2462 0.2462 0.2614  3 Ce 2.94, 3 La 3.03
Ce: 0.5000 0.5000 0.5000  6 Pd 2.94
La: 0.0000 0.0000 0.0000  6 Pd 3.03

18.
Entry from the Alexandria database: crystalline LaCe2Pd9 at its relaxed geometry (PBE).

## Properties
- Fermi-level density of states (states/eV per atom) = 0.695
- volume (A^3/atom) = 18.3

Cell: 4.1797 4.1797 12.5433 Å, 90.00 90.00 90.00°
Closest atoms and distances in Å follow each position.
Positions (direct):
La: 0.0000 0.0000 0.0000  12 Pd 2.96-3.01
Ce: 0.0000 0.0000 0.3340  12 Pd 2.91-2.96
Ce: 0.0000 0.0000 0.6660  12 Pd 2.91-2.96
Pd: 0.5000 0.5000 0.0000  4 La 2.96, 8 Pd 3.01
Pd: 0.5000 0.5000 0.3360  8 Pd 2.92-2.93, 4 Ce 2.96
Pd: 0.5000 0.5000 0.6640  8 Pd 2.92-2.93, 4 Ce 2.96
Pd: 0.5000 0.0000 0.1730  2 Ce 2.91, 8 Pd 2.92-3.01, 2 La 3.01
Pd: 0.5000 0.0000 0.5000  8 Pd 2.93-2.96, 4 Ce 2.95
Pd: 0.5000 0.0000 0.8270  2 Ce 2.91, 8 Pd 2.92-3.01, 2 La 3.01
Pd: 0.0000 0.5000 0.1730  2 Ce 2.91, 8 Pd 2.92-3.01, 2 La 3.01
Pd: 0.0000 0.5000 0.5000  8 Pd 2.93-2.96, 4 Ce 2.95
Pd: 0.0000 0.5000 0.8270  2 Ce 2.91, 8 Pd 2.92-3.01, 2 La 3.01

19.
Entry from the Alexandria database: crystalline LaCePd4 at its relaxed geometry (PBE).

## Properties
- Fermi-level density of states (states/eV per atom) = 1.377
- volume (A^3/atom) = 20.0
- offset from the most stable computed form (eV per atom) = 0.0484

Cell: 5.5363 5.5363 5.5363 Å, 60.00 60.00 60.00°
Closest atoms and distances in Å follow each position.
Positions (direct):
Pd: 0.6253 0.6253 0.1242  6 Pd 2.76-2.77
Pd: 0.6253 0.1242 0.6253  6 Pd 2.76-2.77
Pd: 0.6253 0.6253 0.6253  6 Pd 2.76-2.77
Pd: 0.1242 0.6253 0.6253  6 Pd 2.76-2.77
Ce: 0.0000 0.0000 0.0000  12 Pd 3.25, 4 La 3.39
La: 0.2500 0.2500 0.2500  12 Pd 3.25, 4 Ce 3.39

20.
Entry from the Alexandria database: crystalline LaCePd at its relaxed geometry (PBE).

## Properties
- Fermi-level density of states (states/eV per atom) = 2.305
- volume (A^3/atom) = 28.5
- offset from the most stable computed form (eV per atom) = 0.0570

Cell: 3.9699 6.9765 7.3588 Å, 118.08 105.65 90.00°
Closest atoms and distances in Å follow each position.
Positions (direct):
La: 0.4995 0.2411 0.9990  4 Pd 3.10, 1 La 3.37
La: 0.5005 0.7589 0.0010  4 Pd 3.10, 1 La 3.37
Ce: 0.7868 0.7869 0.5736  2 Pd 2.81
Ce: 0.2132 0.2131 0.4264  2 Pd 2.81
Pd: 0.1256 0.6238 0.2512  2 Ce 2.81, 4 La 3.10, 1 Pd 3.11
Pd: 0.8744 0.3762 0.7488  2 Ce 2.81, 4 La 3.10, 1 Pd 3.11

Number 1: VASP energy -4.957 eV/atom, ΔE_f -0.41 eV per atom. Number 2: VASP energy -4.941 eV/atom, ΔE_f -0.41 eV per atom. Number 3: VASP energy -5.538 eV/atom, ΔE_f -0.04 eV per atom. Number 4: VASP energy -4.908 eV/atom, ΔE_f -0.40 eV per atom. Number 5: VASP energy -4.824 eV/atom, ΔE_f -0.06 eV per atom. Number 6: VASP energy -5.350 eV/atom, ΔE_f -0.09 eV per atom. Number 7: VASP energy -5.989 eV/atom, ΔE_f -0.68 eV per atom. Number 8: VASP energy -6.004 eV/atom, ΔE_f -0.69 eV per atom. Number 9: VASP energy -6.049 eV/atom, ΔE_f -0.74 eV per atom. Number 10: VASP energy -6.052 eV/atom, ΔE_f -0.78 eV per atom. Number 11: VASP energy -5.813 eV/atom, ΔE_f -0.46 eV per atom. Number 12: VASP energy -5.768 eV/atom, ΔE_f -0.42 eV per atom. Number 13: VASP energy -5.978 eV/atom, ΔE_f -0.67 eV per atom. Number 14: VASP energy -6.080 eV/atom, ΔE_f -0.83 eV per atom. Number 15: VASP energy -5.920 eV/atom, ΔE_f -0.69 eV per atom. Number 16: VASP energy -6.028 eV/atom, ΔE_f -0.82 eV per atom. Number 17: VASP energy -5.979 eV/atom, ΔE_f -0.67 eV per atom. Number 18: VASP energy -6.120 eV/atom, ΔE_f -0.83 eV per atom. Number 19: VASP energy -6.003 eV/atom, ΔE_f -0.73 eV per atom. Number 20: VASP energy -5.756 eV/atom, ΔE_f -0.40 eV per atom.